Mg4H2Ir | PBE-GGA | relaxed

Lattice parameters (Å, degrees): 5.2276 6.4343 5.5153 90.70 121.43 127.45
Closest atoms and distances in Å follow each position.
Sites, in units of the cell vectors:
Mg  0.5871  0.5639  0.5917  2 H 2.32-2.36
H  0.9157  0.3836  0.2084  1 Ir 1.69
Mg  0.5894  0.8981  0.1104  2 H 2.31-2.34
H  0.9246  0.4098  0.8260  1 Ir 1.69
Ir  0.9222  0.3981  0.5182  2 H 1.69
Mg  0.2671  0.2420  0.9301  2 H 2.34-2.45
Mg  0.2696  0.8995  0.4524  2 H 2.36-2.47

Computed properties:
Energy above the lowest structure with this stoichiometry: 0 meV/atom

***

ScTe2Ir | PBE-GGA | relaxed

Lattice parameters (Å, degrees): 6.7220 6.7220 4.4543 70.67 70.67 35.30
Closest atoms and distances in Å follow each position.
Sites, in units of the cell vectors:
Ir  0.4076  0.4076  0.4678  4 Te 2.62-2.73, 2 Sc 2.63-2.64
Te  0.0450  0.0450  0.3274  2 Ir 2.62
Sc  0.2905  0.2905  0.0853  2 Ir 2.63-2.64
Te  0.7569  0.7569  0.6195  2 Ir 2.73, 4 Sc 3.04-3.05

Computed properties:
Raw formation energy: -0.63 eV per atom
Energy above the lowest structure with this stoichiometry: 55 meV/atom

***

CdGa2Ir2 | PBE-GGA | relaxed

Lattice parameters (Å, degrees): 7.3869 7.3869 2.9502 90.00 90.00 90.00
Closest atoms and distances in Å follow each position.
Sites, in units of the cell vectors:
Cd  0.0000  0.0000  0.0000  4 Ir 2.82, 2 Cd 2.95
Ir  0.3524  0.8524  0.0000  6 Ga 2.59-2.64, 2 Cd 2.82
Ir  0.8524  0.6476  0.0000  6 Ga 2.59-2.64, 2 Cd 2.82
Ir  0.1476  0.3524  0.0000  6 Ga 2.59-2.64, 2 Cd 2.82
Cd  0.5000  0.5000  0.0000  4 Ir 2.82, 2 Cd 2.95
Ir  0.6476  0.1476  0.0000  6 Ga 2.59-2.64, 2 Cd 2.82
Ga  0.1487  0.6487  0.5000  6 Ir 2.59-2.64
Ga  0.3513  0.1487  0.5000  6 Ir 2.59-2.64
Ga  0.6487  0.8513  0.5000  6 Ir 2.59-2.64
Ga  0.8513  0.3513  0.5000  6 Ir 2.59-2.64

Computed properties:
ΔE_f: -0.308 eV per atom
Energy above the lowest structure with this stoichiometry: 0 meV/atom

***

Ac8FeNi2 | PBE-GGA | relaxed

Lattice parameters (Å, degrees): 7.6941 7.7180 7.7730 89.36 119.66 90.00
Closest atoms and distances in Å follow each position.
Sites, in units of the cell vectors:
Ni  0.9061  0.5520  0.8121  1 Ni 2.65, 2 Ac 2.87-2.97
Ac  0.2109  0.2537  0.9230  1 Fe 2.79, 2 Ni 3.03-3.08
Ni  0.0939  0.4480  0.1879  1 Ni 2.65, 2 Ac 2.87-2.97
Ac  0.2878  0.7463  0.0770  1 Fe 2.79, 2 Ni 3.03-3.08
Fe  0.0000  0.0000  0.0000  6 Ac 2.79-2.87
Ac  0.7978  0.8895  0.5957  1 Fe 2.87, 1 Ni 2.97
Ac  0.2022  0.1105  0.4043  1 Fe 2.87, 1 Ni 2.97
Ac  0.7122  0.2537  0.9230  1 Fe 2.79, 2 Ni 3.03-3.08
Ac  0.2878  0.5962  0.5756  1 Ni 2.87
Ac  0.7891  0.7463  0.0770  1 Fe 2.79, 2 Ni 3.03-3.08
Ac  0.7122  0.4038  0.4244  1 Ni 2.87

Computed properties:
ΔE_f: -0.007 eV per atom

***

CuGeO3 | PBE-GGA | relaxed

Lattice parameters (Å, degrees): 3.7243 3.7243 3.7243 90.00 90.00 90.00
Closest atoms and distances in Å follow each position.
Sites, in units of the cell vectors:
O  0.0000  0.5000  0.0000  2 Cu 1.86
Cu  0.0000  0.0000  0.0000  6 O 1.86
Ge  0.5000  0.5000  0.5000  12 O 2.63
O  0.0000  0.0000  0.5000  2 Cu 1.86
O  0.5000  0.0000  0.0000  2 Cu 1.86

Computed properties:
Raw formation energy: -0.17 eV per atom

***

AcDy2Tm7 | PBE-GGA | relaxed

Lattice parameters (Å, degrees): 5.4144 8.8894 9.4370 118.12 106.67 52.43
Closest atoms and distances in Å follow each position.
Sites, in units of the cell vectors:
Tm  0.7554  0.8564  0.2237  8 Tm 3.45-3.72, 3 Dy 3.53-3.61, 2 Ac 3.75
Tm  0.0006  0.7961  0.5918  2 Dy 3.14-3.15, 1 Ac 3.40, 2 Tm 3.51-3.52
Tm  0.9994  0.2039  0.4082  2 Dy 3.14-3.15, 1 Ac 3.40, 2 Tm 3.51-3.52
Dy  0.4993  0.3003  0.6004  3 Tm 3.14-3.33
Tm  0.2449  0.3669  0.2239  8 Tm 3.45-3.72, 3 Dy 3.52-3.61, 2 Ac 3.74-3.75
Ac  0.0000  0.0000  0.0000  12 Tm 3.40-3.75
Tm  0.5000  0.5000  0.0000  2 Dy 3.33, 2 Ac 3.52, 8 Tm 3.71
Tm  0.2446  0.1436  0.7763  8 Tm 3.45-3.72, 3 Dy 3.53-3.61, 2 Ac 3.75
Dy  0.5007  0.6997  0.3996  3 Tm 3.14-3.33
Tm  0.7551  0.6331  0.7761  8 Tm 3.45-3.72, 3 Dy 3.52-3.61, 2 Ac 3.74-3.75

Computed properties:
ΔE_f: 0.059 eV per atom